1.
Material: AgB2Os
Method: DFT, SCAN
State: PBEsol geometry

**Energy**: -115.13 eV per formula unit
**DOS(E_F)**: 0.46 states/eV/atom
**Formation energy**: 0.74 eV per atom
**Magnetization**: 0.00 μB/cell

Cell and atoms, written as POSCAR:
```
AgB2Os
1.0
-4.3574 2.0113 0.5531
-0.0622 -1.4056 4.6215
4.3222 3.9133 -1.2766
B Os Ag
4 2 2
direct
0.9220 0.3750 0.2500
0.3280 0.8750 0.2500
0.6250 0.6720 0.7500
0.1250 0.0780 0.7500
0.2500 0.7500 0.5000
0.0000 0.0000 0.0000
0.7500 0.2500 0.5000
0.5000 0.5000 0.0000
```

2.
Material: Ba2HgI
Method: DFT, SCAN
State: PBEsol geometry

**Energy**: -187.57 eV per formula unit
**DOS(E_F)**: 0.85 states/eV/atom
**E_form (uncorrected)**: -3.558 eV/f.u.
**Magnetization**: 2.41 μB/cell

Cell and atoms, written as POSCAR:
```
Ba2HgI
1.0
-1.2313 1.1019 5.6857
-4.8411 -2.3320 2.4865
0.5234 -4.3055 4.0307
I Hg Ba
1 1 2
direct
0.0000 0.0000 0.0000
0.5000 0.5000 0.5000
0.2500 0.2500 0.2500
0.7500 0.7500 0.7500
```

3.
Material: BaY3Fe
Method: DFT, SCAN
State: PBEsol geometry

**Energy**: -133.41 eV per formula unit
**DOS(E_F)**: 1.59 states/eV/atom
**Formation energy**: 1.56 eV per atom
**Magnetization**: 2.86 μB/cell

Cell and atoms, written as POSCAR:
```
BaY3Fe
1.0
-4.2406 -2.4956 -2.4458
3.1510 -4.3935 -0.9804
-1.5103 -2.1592 4.8218
Y Ba Fe
3 1 1
direct
0.0000 0.5000 0.0000
0.0000 0.0000 0.5000
0.5000 0.0000 0.0000
0.0000 0.0000 0.0000
0.5000 0.5000 0.5000
```

4.
Material: Na2As2Pt
Method: DFT, SCAN
State: PBEsol geometry

**Energy**: -122.11 eV per formula unit
**DOS(E_F)**: 0.24 states/eV/atom
**Formation energy**: -0.62 eV per atom
**Magnetization**: 0.00 μB/cell

Cell and atoms, written as POSCAR:
```
Na2As2Pt
1.0
4.8587 0.0000 0.0000
0.0000 6.3764 0.0000
0.0000 0.0000 6.3764
Na As Pt
4 4 2
direct
0.5000 0.1760 0.6760
0.5000 0.6760 0.8240
0.5000 0.8240 0.3240
0.5000 0.3240 0.1760
0.0000 0.3617 0.8617
0.0000 0.8617 0.6383
0.0000 0.6383 0.1383
0.0000 0.1383 0.3617
0.0000 0.0000 0.0000
0.0000 0.5000 0.5000
```

5.
Material: LaPWS2
Method: DFT, SCAN
State: PBEsol geometry

**Energy**: -136.37 eV per formula unit
**DOS(E_F)**: 0.80 states/eV/atom
**E_form (uncorrected)**: 6.074 eV/f.u.
**Magnetization**: 2.40 μB/cell

Cell and atoms, written as POSCAR:
```
LaPWS2
1.0
5.2623 0.0000 0.0000
0.0000 5.2623 0.0000
0.0000 0.0000 5.3854
P S W La
1 2 1 1
direct
0.0000 0.0000 0.5000
0.0000 0.5000 0.0000
0.5000 0.0000 0.0000
0.5000 0.5000 0.5000
0.0000 0.0000 0.0000
```

6.
Material: Na3B5Pt9
Method: DFT, SCAN
State: PBEsol geometry

**Energy**: -690.78 eV per formula unit
**DOS(E_F)**: 0.11 states/eV/atom
**Formation energy**: -0.54 eV per atom
**Magnetization**: 0.00 μB/cell

Cell and atoms, written as POSCAR:
```
Na3B5Pt9
1.0
-0.6175 -1.7329 5.2310
5.6673 -1.0737 -2.6257
4.8456 13.3569 4.9967
Na B Pt
6 10 18
direct
0.6859 0.3718 0.7500
0.3141 0.6282 0.2500
0.4404 0.8808 0.4147
0.5596 0.1192 0.5853
0.5596 0.1192 0.9147
0.4404 0.8808 0.0853
0.0557 0.1114 0.3538
0.9443 0.8886 0.6462
0.9443 0.8886 0.8538
0.0557 0.1114 0.1462
0.8106 0.6211 0.4728
0.1894 0.3789 0.5272
0.1894 0.3789 0.9728
0.8106 0.6211 0.0272
0.2729 0.5459 0.7500
0.7271 0.4541 0.2500
0.0000 0.0000 0.5000
0.0000 0.0000 0.0000
0.3397 0.1714 0.2500
0.1682 0.8286 0.7500
0.6603 0.8286 0.7500
0.8318 0.1714 0.2500
0.8722 0.7444 0.3429
0.1278 0.2556 0.6571
0.1278 0.2556 0.8429
0.8722 0.7444 0.1571
0.4326 0.3681 0.4202
0.0645 0.6319 0.5798
0.5674 0.6319 0.9202
0.9355 0.3681 0.0798
0.5674 0.6319 0.5798
0.9355 0.3681 0.4202
0.4326 0.3681 0.0798
0.0645 0.6319 0.9202
```

7.
Material: Ca2LaZn2
Method: DFT, SCAN
State: PBEsol geometry

**Energy**: -90.59 eV per formula unit
**DOS(E_F)**: 0.61 states/eV/atom
**Formation energy**: -0.23 eV per atom
**Magnetization**: 0.00 μB/cell

Cell and atoms, written as POSCAR:
```
Ca2LaZn2
1.0
4.9064 0.0000 0.0000
0.0000 7.4912 0.0000
0.0000 0.0000 7.4912
Zn Ca La
4 4 2
direct
0.0000 0.3838 0.8838
0.0000 0.8838 0.6162
0.0000 0.6162 0.1162
0.0000 0.1162 0.3838
0.5000 0.1710 0.6710
0.5000 0.6710 0.8290
0.5000 0.8290 0.3290
0.5000 0.3290 0.1710
0.0000 0.0000 0.0000
0.0000 0.5000 0.5000
```

8.
Material: SrZn2Mo
Method: DFT, SCAN
State: PBEsol geometry

**Energy**: -83.18 eV per formula unit
**Relative energy among the computed polymorphs**: 0.000 eV per atom
**DOS(E_F)**: 0.54 states/eV/atom
**Formation energy**: 0.25 eV per atom
**Magnetization**: 1.82 μB/cell

Cell and atoms, written as POSCAR:
```
SrZn2Mo
1.0
-1.0957 -2.3952 2.1115
2.3254 -2.1284 -1.2077
4.4069 2.1399 4.7143
Mo Sr Zn
1 1 2
direct
0.5000 0.5000 0.0000
0.5000 0.5000 0.5000
0.0000 0.0000 0.8168
0.0000 0.0000 0.1832
```

9.
Material: NiHgAs
Method: DFT, SCAN
State: PBEsol geometry

**Energy**: -104.35 eV per formula unit
**Relative energy among the computed polymorphs**: 0.000 eV per atom
**DOS(E_F)**: 0.59 states/eV/atom
**Formation energy**: 0.06 eV per atom
**Magnetization**: 0.00 μB/cell

Cell and atoms, written as POSCAR:
```
NiHgAs
1.0
2.9163 0.0000 0.0000
0.0000 2.9163 0.0000
-1.4581 -1.4581 5.9525
As Hg Ni
1 1 1
direct
0.9603 0.9603 0.9205
0.6875 0.6875 0.3751
0.3522 0.3522 0.7044
```

10.
Material: Pr3BWO9
Method: DFT, SCAN
State: PBEsol geometry

**Energy**: -309.01 eV per formula unit
**DOS(E_F)**: 0.00 states/eV/atom
**E_form (uncorrected)**: -45.833 eV/f.u.
**Magnetization**: 0.00 μB/cell

Cell and atoms, written as POSCAR:
```
Pr3BWO9
1.0
5.5323 0.0000 0.0000
0.0000 8.7181 0.0000
0.0000 -4.3590 7.5501
Pr B W O
6 2 2 18
direct
0.2959 0.3595 0.2744
0.7959 0.6405 0.7256
0.7959 0.0851 0.3595
0.2959 0.7256 0.0851
0.2959 0.9149 0.6405
0.7959 0.2744 0.9149
0.6397 0.0000 0.0000
0.1397 0.0000 0.0000
0.7542 0.6667 0.3333
0.2542 0.3333 0.6667
0.6478 0.1764 0.1299
0.1478 0.1299 0.9535
0.6478 0.9535 0.8236
0.9598 0.7257 0.5279
0.5288 0.5171 0.1393
0.9598 0.8022 0.2743
0.1478 0.8236 0.8701
0.4598 0.5279 0.8022
0.0288 0.3779 0.5171
0.9598 0.4721 0.1978
0.5288 0.8607 0.3779
0.0288 0.1393 0.6221
0.1478 0.0465 0.1764
0.5288 0.6221 0.4829
0.6478 0.8701 0.0465
0.4598 0.1978 0.7257
0.4598 0.2743 0.4721
0.0288 0.4829 0.8607
```

11.
Material: Na3CrP
Method: DFT, SCAN
State: PBEsol geometry

**Energy**: -40.20 eV per formula unit
**DOS(E_F)**: 0.22 states/eV/atom
**Formation energy**: 0.25 eV per atom
**Magnetization**: 5.98 μB/cell

Cell and atoms, written as POSCAR:
```
Na3CrP
1.0
5.3708 0.0000 0.0000
0.0000 5.3708 0.0000
0.0000 0.0000 5.3708
Cr Na P
1 3 1
direct
0.5000 0.5000 0.5000
0.0000 0.5000 0.0000
0.0000 0.0000 0.5000
0.5000 0.0000 0.0000
0.0000 0.0000 0.0000
```

12.
Material: CsTl2Cd2
Method: DFT, SCAN
State: PBEsol geometry

**Energy**: -243.87 eV per formula unit
**DOS(E_F)**: 0.59 states/eV/atom
**Formation energy**: -0.10 eV per atom
**Magnetization**: 0.00 μB/cell

Cell and atoms, written as POSCAR:
```
CsTl2Cd2
1.0
5.0619 0.0000 0.0000
0.0000 5.0619 0.0000
-2.5309 -2.5309 6.2943
Cs Tl Cd
1 2 2
direct
0.0000 0.0000 0.0000
0.3739 0.3739 0.7477
0.6261 0.6261 0.2523
0.2500 0.7500 0.5000
0.7500 0.2500 0.5000
```